CaHg2Rh: optimized geometry, PBE.

Cell lengths 4.838, 5.592, 7.524 Å; angles 95.83, 89.79, 116.09 degrees
Atoms (fractional coordinates):
Rh: 0.156 0.099 0.075
Hg: 0.860 0.521 0.654
Hg: 0.848 0.516 0.053
Ca: 0.527 0.859 0.879
Hg: 0.185 0.177 0.715
Ca: 0.348 0.500 0.363
Hg: 0.640 0.078 0.290
Rh: 0.031 0.866 0.386

## Properties
The value obtained for the energy is -2.75 eV/atom. The calculation puts the energy relative to the elements at -0.26 eV/atom. The space-group type is P1. The calculation puts the density of states at the Fermi level at 4.45 states/eV/cell.